# 1
A plane-wave DFT calculation with PBE was carried out for a geometry-optimized Er3Ga9Os2 structure.

a b c (Å): 8.068 8.068 8.068
angles (deg): 149.34 108.66 79.62
Sites, in units of the cell vectors:
Er  0.000  0.000  0.000
Er  0.299  0.299  0.000
Er  0.701  0.701  0.000
Ga  0.017  0.652  0.365
Ga  0.152  0.867  0.284
Ga  0.288  0.652  0.635
Ga  0.417  0.133  0.284
Ga  0.500  0.000  0.500
Ga  0.583  0.867  0.716
Ga  0.712  0.348  0.365
Ga  0.848  0.133  0.716
Ga  0.983  0.348  0.635
Os  0.328  0.500  0.828
Os  0.672  0.500  0.172

Calculated values
final energy	-4.994	eV/atom



# 2
A plane-wave DFT calculation with PBE was carried out for a geometry-optimized Np2Se3 structure.

a b c (Å): 7.698 7.698 7.698
angles (deg): 56.66 56.66 56.66
Sites, in units of the cell vectors:
Np  0.152  0.152  0.152
Np  0.348  0.348  0.348
Np  0.652  0.652  0.652
Np  0.848  0.848  0.848
Se  0.052  0.750  0.448
Se  0.250  0.552  0.948
Se  0.448  0.052  0.750
Se  0.552  0.948  0.250
Se  0.750  0.448  0.052
Se  0.948  0.250  0.552

Calculated values
E_form (uncorrected)	-105.24	kJ/mol of atoms



# 3
A plane-wave DFT calculation with PBE was carried out for a geometry-optimized ScSiSN2 structure.

a b c (Å): 3.582 3.582 4.827
angles (deg): 90.00 90.00 90.00
Sites, in units of the cell vectors:
Sc  0.000  0.000  0.000
Si  0.500  0.500  0.500
S  0.500  0.500  0.000
N  0.000  0.500  0.500
N  0.500  0.000  0.500

Calculated values
E_form (uncorrected)	-35.50	kJ/mol of atoms



# 4
A plane-wave DFT calculation with PBE was carried out for a geometry-optimized Ba4Sr2Ca5 structure.

a b c (Å): 10.684 25.589 4.191
angles (deg): 90.00 90.00 90.00
Sites, in units of the cell vectors:
Ba  0.068  0.151  0.000
Ba  0.204  0.427  0.000
Ba  0.296  0.927  0.000
Ba  0.432  0.651  0.000
Ba  0.568  0.349  0.000
Ba  0.704  0.073  0.000
Ba  0.796  0.573  0.000
Ba  0.932  0.849  0.000
Sr  0.057  0.689  0.000
Sr  0.443  0.189  0.000
Sr  0.557  0.811  0.000
Sr  0.943  0.311  0.000
Ca  0.000  0.000  0.500
Ca  0.144  0.561  0.500
Ca  0.247  0.287  0.500
Ca  0.253  0.787  0.500
Ca  0.356  0.061  0.500
Ca  0.500  0.500  0.500
Ca  0.644  0.939  0.500
Ca  0.747  0.213  0.500
Ca  0.753  0.713  0.500
Ca  0.856  0.439  0.500

Calculated values
final energy	-1.864	eV/atom



# 5
A plane-wave DFT calculation with PBE was carried out for a geometry-optimized Rb2AgSe2 structure.

a b c (Å): 7.622 7.622 5.314
angles (deg): 90.00 90.00 90.00
Sites, in units of the cell vectors:
Rb  0.153  0.347  0.000
Rb  0.347  0.847  0.000
Rb  0.653  0.153  0.000
Rb  0.847  0.653  0.000
Ag  0.000  0.000  0.500
Ag  0.500  0.500  0.500
Se  0.164  0.664  0.500
Se  0.336  0.164  0.500
Se  0.664  0.836  0.500
Se  0.836  0.336  0.500

Calculated values
E_form (uncorrected)	-53.89	kJ/mol of atoms



# 6
A plane-wave DFT calculation with PBE was carried out for a geometry-optimized Mn5Nb4W structure.

a b c (Å): 3.052 3.052 15.310
angles (deg): 90.00 90.00 90.00
Sites, in units of the cell vectors:
Mn  0.000  0.000  0.000
Mn  0.000  0.000  0.202
Mn  0.000  0.000  0.405
Mn  0.000  0.000  0.595
Mn  0.000  0.000  0.798
Nb  0.500  0.500  0.100
Nb  0.500  0.500  0.301
Nb  0.500  0.500  0.699
Nb  0.500  0.500  0.900
W  0.500  0.500  0.500

Calculated values
final energy	-9.978	eV/atom



# 7
A plane-wave DFT calculation with PBE was carried out for a geometry-optimized CePmTmTh structure.

a b c (Å): 11.630 11.630 11.630
angles (deg): 17.56 17.56 17.56
Sites, in units of the cell vectors:
Ce  0.000  0.000  0.000
Pm  0.833  0.833  0.833
Tm  0.585  0.585  0.585
Th  0.414  0.414  0.414

Calculated values
final energy	-5.606	eV/atom



# 8
A plane-wave DFT calculation with PBE was carried out for a geometry-optimized CoSi2Se structure.

a b c (Å): 6.686 6.686 6.686
angles (deg): 28.47 28.47 28.47
Sites, in units of the cell vectors:
Co  0.000  0.000  0.000
Si  0.262  0.262  0.262
Si  0.738  0.738  0.738
Se  0.500  0.500  0.500

Calculated values
E_form (uncorrected)	8.28	kJ/mol of atoms



# 9
A plane-wave DFT calculation with PBE was carried out for a geometry-optimized In3Bi4Pb2 structure.

a b c (Å): 5.354 5.456 10.671
angles (deg): 80.91 81.97 65.48
Sites, in units of the cell vectors:
In  0.000  0.000  0.000
In  0.336  0.341  0.439
In  0.664  0.659  0.561
Bi  0.009  0.002  0.651
Bi  0.339  0.339  0.111
Bi  0.661  0.661  0.889
Bi  0.991  0.998  0.349
Pb  0.332  0.330  0.782
Pb  0.668  0.670  0.218

Calculated values
final energy	-3.422	eV/atom



# 10
A plane-wave DFT calculation with PBE was carried out for a geometry-optimized LaTlPb2 structure.

a b c (Å): 5.972 5.972 3.679
angles (deg): 90.00 90.00 108.35
Sites, in units of the cell vectors:
La  0.000  0.000  0.000
Tl  0.500  0.500  0.000
Pb  0.000  0.500  0.500
Pb  0.500  0.000  0.500

Calculated values
final energy	-3.994	eV/atom



# 11
A plane-wave DFT calculation with PBE was carried out for a geometry-optimized Sr6MgIn3 structure.

a b c (Å): 10.244 5.868 13.075
angles (deg): 90.00 109.45 90.00
Sites, in units of the cell vectors:
Sr  0.029  0.250  0.415
Sr  0.153  0.750  0.174
Sr  0.242  0.250  0.999
Sr  0.329  0.750  0.806
Sr  0.368  0.250  0.341
Sr  0.389  0.250  0.628
Sr  0.611  0.750  0.372
Sr  0.632  0.750  0.659
Sr  0.671  0.250  0.194
Sr  0.758  0.750  0.001
Sr  0.847  0.250  0.826
Sr  0.971  0.750  0.585
Mg  0.457  0.750  0.090
Mg  0.543  0.250  0.910
In  0.035  0.750  0.877
In  0.105  0.250  0.717
In  0.268  0.750  0.475
In  0.732  0.250  0.525
In  0.895  0.750  0.283
In  0.965  0.250  0.123

Calculated values
final energy	-2.251	eV/atom



# 12
A plane-wave DFT calculation with PBE was carried out for a geometry-optimized BeGaBi2Os structure.

a b c (Å): 5.329 5.329 4.358
angles (deg): 90.00 90.00 90.00
Sites, in units of the cell vectors:
Be  0.000  0.000  0.000
Ga  0.500  0.500  0.000
Bi  0.000  0.500  0.500
Bi  0.500  0.000  0.500
Os  0.000  0.000  0.500

Calculated values
final energy	-4.493	eV/atom



| no. | magnetic moment (μB per formula unit) |
| --- | --- |
| 1 | 0.0 |
| 2 | 8.0 |
| 3 | 0.4 |
| 4 | 0.0 |
| 5 | 0.0 |
| 6 | 0.0 |
| 7 | 0.1 |
| 8 | 0.0 |
| 9 | 0.0 |
| 10 | 0.0 |
| 11 | 0.0 |
| 12 | 0.0 |